The following is a PBE+U calculation of PmGaCo2O6 after structural relaxation, from Alexandria via LeMat-Bulk.

Unit cell a=5.1998 b=5.2085 c=5.5674 alpha=61.86 beta=62.10 gamma=60.13
Site moments in Bohr magnetons follow the coordinates.
Atoms (fractional coordinates):
O  0.7398  0.1769  0.7562  0.00
O  0.1780  0.3274  0.7549  -0.02
O  0.3307  0.7387  0.7547  -0.04
O  0.9174  0.6264  0.2203  0.01
O  0.2341  0.9189  0.2213  -0.01
O  0.6273  0.2363  0.2196  0.00
Co  0.0061  0.0091  0.9731  1.36
Co  0.5241  0.5239  0.4257  2.56
Ga  0.3144  0.3155  0.0547  0.01
Pm  0.7899  0.7886  0.6348  0.01

Summary:
The calculation puts the total energy at -64.804 eV/cell. As for the symmetry: P1.